DFT (GGA-PBE) results for Ba2Hg after structural relaxation.

Structure (POSCAR):
```
Ba2Hg
1.0
-9.0580 -3.4611 3.9337
-4.6484 5.2071 7.7961
-8.8454 5.2970 -1.7892
Hg Ba
2 4
Direct
0.2500 0.2500 0.2500
0.5000 0.5000 0.5000
0.3750 0.3750 0.8750
0.3750 0.8750 0.3750
0.8750 0.3750 0.3750
0.3750 0.3750 0.3750
```

**E_tot**: -6.19 eV for the cell shown
**Symmetry**: Fd-3m